# 1
# Pr6Ni2Ir

A geometry-optimized Pr6Ni2Ir structure (PBE-GGA, the Alexandria database).

DFT formation energy   -0.27 eV/atom
SG   Immm, No. 71

Structure (extended XYZ):
```
18
Lattice="8.110 0.166 -2.754 -4.283 6.928 -2.655 0.103 -0.166 8.565" Properties=species:S:1:pos:R:3 pbc="T T T"
Pr 5.511 0.185 0.920
Pr 4.214 5.219 -2.990
Pr -1.581 6.743 2.235
Pr 3.551 5.176 0.589
Pr -0.284 1.709 6.145
Pr 0.379 1.752 2.566
Pr 2.410 1.875 -0.440
Pr 5.564 1.919 -2.258
Pr 1.520 5.053 3.595
Pr -0.188 4.490 0.265
Pr -1.634 5.009 5.413
Pr 4.118 2.438 2.890
Ir 8.110 0.166 -2.754
Ir 6.020 3.547 0.200
Ni 2.618 0.000 1.852
Ni 1.423 4.340 -2.012
Ni 2.507 2.588 5.167
Ni 5.596 0.000 3.959
```



# 2
# K3Na7Hg2

A geometry-optimized K3Na7Hg2 structure (PBE-GGA, the Alexandria database).

DFT formation energy   -0.08 eV/atom
SG   R-3m, No. 166

Structure (extended XYZ):
```
12
Lattice="-3.061 4.329 5.064 -7.218 -0.345 1.239 -1.802 -6.153 9.479" Properties=species:S:1:pos:R:3 pbc="T T T"
Na -5.768 -4.693 8.479
Na -6.041 -1.084 7.891
Na -6.314 2.524 7.303
Na -8.400 0.180 5.385
Na -7.303 -2.521 11.019
Na -4.779 0.353 4.763
Na -3.682 -2.348 10.397
Hg -5.230 -4.818 11.573
Hg -6.852 2.650 4.209
K -9.581 0.765 9.478
K 0.000 0.000 0.000
K -2.501 -2.934 6.304
```



# 3
# In2CoSb

A geometry-optimized In2CoSb structure (PBE-GGA, the Alexandria database).

ΔE_f (raw)   0.038 eV/atom
SG   Amm2, No. 38

Structure (extended XYZ):
```
4
Lattice="-2.462 -0.584 2.105 1.745 -6.029 0.367 3.950 -3.147 3.746" Properties=species:S:1:pos:R:3 pbc="T T T"
In 5.253 -8.464 3.793
In 0.255 -2.687 2.126
Sb 3.281 -5.287 2.370
Co 2.986 -7.086 4.098
```



# 4
# CaMnCl2

A geometry-optimized CaMnCl2 structure (PBE-GGA, the Alexandria database).

ΔE_f (raw)   -0.872 eV/atom
SG   Imm2, No. 44

Structure (extended XYZ):
```
4
Lattice="7.477 0.041 -0.002 5.311 5.263 0.002 -6.130 -3.289 2.741" Properties=species:S:1:pos:R:3 pbc="T T T"
Cl 2.622 2.244 1.372
Cl 11.887 4.930 0.000
Mn 7.145 2.964 0.000
Ca 4.187 -0.167 1.369
```